No. 1
A plane-wave DFT calculation with PBE was carried out for a relaxed Os6Cl7 crystal.

POSCAR file:
```
Os6Cl7
1.0
7.928 -1.190 -0.830
3.178 7.359 -0.830
3.178 1.766 7.192
Os Cl
6 7
Cartesian
13.332 7.406 5.164 Os
0.953 0.529 0.369 Os
11.455 6.363 4.437 Os
2.829 1.572 1.096 Os
9.145 5.080 3.542 Os
5.139 2.855 1.991 Os
2.900 3.457 2.411 Cl
4.468 2.482 -0.237 Cl
4.468 0.635 2.411 Cl
11.384 4.478 3.122 Cl
9.817 7.299 3.122 Cl
9.817 5.453 5.770 Cl
7.142 3.967 2.766 Cl
```

Calculated values
V, Å³/cell: 476
Spin magnetization, μB/f.u.: 6.6
E_form (uncorrected), meV/atom: 1459
E_tot, eV per atom: -4.718

No. 2
A plane-wave DFT calculation with PBE was carried out for a relaxed ThTiH4 crystal.

POSCAR file:
```
ThTiH4
1.0
-4.336 -1.179 2.577
2.834 -2.054 3.832
0.880 5.600 -1.164
Th Ti H
2 2 8
Cartesian
0.365 -0.325 3.070 Th
-0.987 2.692 2.174 Th
2.598 2.256 2.802 Ti
-3.220 0.110 2.442 Ti
0.561 -0.407 0.759 H
-1.620 0.827 3.400 H
0.105 -2.237 4.361 H
-0.419 2.566 -0.072 H
-0.203 -0.200 5.316 H
-0.727 4.603 0.883 H
0.998 1.539 1.844 H
-1.184 2.773 4.485 H
```

Calculated values
V, Å³/cell: 120
Spin magnetization, μB/f.u.: 0.0
E_tot, eV per atom: -5.168

No. 3
A plane-wave DFT calculation with PBE was carried out for a relaxed BeTe4Se crystal.

POSCAR file:
```
BeTe4Se
1.0
2.731 -5.608 -0.080
-3.141 -4.970 -2.086
1.572 -2.627 -5.436
Be Te Se
1 4 1
Cartesian
0.872 -9.904 -5.701 Be
1.811 -7.765 -2.883 Te
1.227 -6.263 -5.582 Te
-1.147 -7.443 -3.895 Te
0.435 -4.939 -2.843 Te
0.000 0.000 0.000 Se
```

Calculated values
V, Å³/cell: 172
Spin magnetization, μB/f.u.: 0.0
E_form (uncorrected), meV/atom: 918
E_tot, eV per atom: -2.378

No. 4
A plane-wave DFT calculation with PBE was carried out for a relaxed BSbTe crystal.

POSCAR file:
```
BSbTe
1.0
3.373 -0.563 0.039
-0.756 5.921 0.738
-0.161 -0.382 7.624
B Te Sb
2 2 2
Cartesian
1.393 3.291 1.969 B
1.063 1.685 6.432 B
-0.202 4.202 3.221 Te
2.658 0.774 5.180 Te
1.396 3.755 7.413 Sb
1.060 1.221 0.988 Sb
```

Calculated values
V, Å³/cell: 150
Spin magnetization, μB/f.u.: 0.0
E_form (uncorrected), meV/atom: 333
E_tot, eV per atom: -4.314

No. 5
A plane-wave DFT calculation with PBE was carried out for a relaxed Ta2Pd2Au crystal.

POSCAR file:
```
Ta2Pd2Au
1.0
7.958 0.000 0.000
0.000 7.958 0.000
0.000 0.000 2.811
Au Pd Ta
2 4 4
Cartesian
0.000 0.000 0.000 Au
3.979 3.979 0.000 Au
1.361 5.340 1.405 Pd
5.340 6.598 1.405 Pd
6.598 2.619 1.405 Pd
2.619 1.361 1.405 Pd
3.001 6.980 0.000 Ta
6.980 4.957 0.000 Ta
4.957 0.978 0.000 Ta
0.978 3.001 0.000 Ta
```

Calculated values
V, Å³/cell: 178
Spin magnetization, μB/f.u.: 0.0
ΔH_f (0 K), eV per atom: 0.01
E_tot, eV per atom: -7.465

No. 6
A plane-wave DFT calculation with PBE was carried out for a relaxed Ce7Tl3Pb crystal.

POSCAR file:
```
Ce7Tl3Pb
1.0
0.306 4.218 -4.114
-7.696 -1.525 2.819
1.517 2.630 7.764
Ce Tl Pb
7 3 1
Cartesian
-1.128 1.049 1.220 Ce
0.461 2.588 3.455 Ce
-1.664 4.841 5.521 Ce
-4.209 0.482 0.948 Ce
-3.090 0.553 5.291 Ce
-6.334 2.735 3.014 Ce
-4.745 4.274 5.249 Ce
-5.620 -0.588 3.933 Tl
0.153 2.109 -2.057 Tl
-0.560 1.694 6.649 Tl
-2.937 2.661 3.234 Pb
```

Calculated values
V, Å³/cell: 338
Spin magnetization, μB/f.u.: 7.0
ΔH_f (0 K), eV per atom: -0.06
E_tot, eV per atom: -4.814

Question: Among the records above, which one has the highest V?
Answer: Os6Cl7